A geometry-optimized Al2CuIr structure. Source: the Alexandria database, functional PBE.

Cell: 2.978 3.632 5.216 Å, 90.00 90.00 90.00°
Space group Pmm2 (No. 25)
Inequivalent atoms, fractional coordinates:
Al 0.000 0.000 0.000
Al 0.500 0.500 0.305
Cu 0.000 0.000 0.504
Ir 0.500 0.500 0.805

Results
Fermi-level density of states: 1.86 states/eV/f.u.
Uncorrected energy: -5.567 eV per atom
Calculated density: 9.115 Mg/m³